A geometry-optimized Mn3Ni2Pt3 structure, computed with PBE.

Cell and atoms, written as POSCAR:
```
Mn3Ni2Pt3
1.0
3.5776 0.0000 -0.7509
-0.1826 3.8180 -0.8698
-0.1436 -0.1480 8.2142
Mn Ni Pt
3 2 3
Direct
0.1368 0.1368 0.2735
0.0000 0.5000 0.0000
0.8632 0.8632 0.7265
0.7477 0.2477 0.4955
0.2523 0.7523 0.5045
0.6313 0.6313 0.2626
0.3687 0.3687 0.7374
0.5000 0.0000 0.0000
```

- magnetization (μB per formula unit) = 13.420
- formation energy (eV/f.u.) = -2.144


A geometry-optimized MgAlHg2 structure, computed with PBE.

Cell and atoms, written as POSCAR:
```
MgAlHg2
1.0
-1.2767 0.7244 3.6524
-2.5323 -2.0946 -0.4698
1.2566 -6.8343 1.7947
Al Hg Mg
1 2 1
Direct
0.5000 0.7500 0.7500
0.0000 0.0018 0.9962
0.0000 0.4982 0.5038
0.5000 0.2500 0.2500
```

- magnetization (μB per formula unit) = 0.000
- formation energy (eV/f.u.) = -0.025


A geometry-optimized DyTh2Sb2Te2 structure, computed with PBE.

Cell and atoms, written as POSCAR:
```
DyTh2Sb2Te2
1.0
5.6887 0.0000 0.0000
0.0000 5.6887 0.0000
-2.8443 -2.8443 7.8521
Dy Th Sb Te
1 2 2 2
Direct
0.0000 0.0000 0.0000
0.3875 0.3875 0.7751
0.6125 0.6125 0.2249
0.0000 0.5000 0.0000
0.5000 0.0000 0.0000
0.1930 0.1930 0.3860
0.8070 0.8070 0.6140
```

- magnetization (μB per formula unit) = 0.939
- raw formation energy (eV per atom) = -0.623


A geometry-optimized VNiGe structure, computed with PBE.

Cell and atoms, written as POSCAR:
```
VNiGe
1.0
-6.1804 0.9605 1.4518
-0.6605 -2.7497 -0.9926
2.1897 -3.2462 7.5360
Ni Ge V
4 4 4
Direct
0.3581 0.0000 0.8113
0.6419 0.0000 0.1887
0.3581 0.5000 0.3113
0.6419 0.5000 0.6887
0.7257 0.0000 0.9133
0.2743 0.0000 0.0867
0.7257 0.5000 0.4133
0.2743 0.5000 0.5867
0.9407 0.0000 0.6350
0.0593 0.0000 0.3650
0.9407 0.5000 0.1350
0.0593 0.5000 0.8650
```

- magnetization (μB per formula unit) = 0.001
- formation energy (eV/f.u.) = -0.670


- Which of these has the lowest magnetization?
  MgAlHg2


Please write out number 1 again, unchanged.
A geometry-optimized Mn3Ni2Pt3 structure, computed with PBE.

Cell and atoms, written as POSCAR:
```
Mn3Ni2Pt3
1.0
3.5776 0.0000 -0.7509
-0.1826 3.8180 -0.8698
-0.1436 -0.1480 8.2142
Mn Ni Pt
3 2 3
Direct
0.1368 0.1368 0.2735
0.0000 0.5000 0.0000
0.8632 0.8632 0.7265
0.7477 0.2477 0.4955
0.2523 0.7523 0.5045
0.6313 0.6313 0.2626
0.3687 0.3687 0.7374
0.5000 0.0000 0.0000
```

- magnetization (μB per formula unit) = 13.420
- formation energy (eV/f.u.) = -2.144